(1)
PBE-GGA BeZn3Pt4, optimized geometry; SG = P4/mmm (123); DFT formation energy = -0.62 eV per atom; DFT total energy = -4.586 eV per atom; density = 14.75 g/cm³; crystal system = tetragonal
1.0
-1.3386 -1.3895 2.0815
1.7495 -2.2075 -0.3486
8.6837 5.4281 9.2079
Be Zn Pt
1 3 4
Direct
0.5000 0.5000 0.0000
0.5000 0.5000 0.2382
0.5000 0.5000 0.5000
0.5000 0.5000 0.7618
0.0000 0.0000 0.8957
0.0000 0.0000 0.1043
0.0000 0.0000 0.3690
0.0000 0.0000 0.6310

***

(2)
PBE-GGA BeZnPt4, optimized geometry; SG = P4/mmm (123); DFT formation energy = -0.31 eV per atom; distance to the lowest polymorph of the same formula = 0.000 eV/atom; DFT total energy = -5.170 eV per atom; density = 15.26 g/cm³; crystal system = tetragonal
1.0
-3.4182 0.3543 1.9786
1.5562 -2.0057 3.0475
1.8967 5.0714 2.3736
Be Zn Pt
1 1 4
Direct
0.0015 0.9969 0.4982
0.5012 0.4975 0.9981
0.5013 0.9972 0.2679
0.5014 0.9976 0.7283
0.0014 0.4973 0.7283
0.0011 0.4972 0.2679

***

(3)
PBE-GGA Be2ZnPt, optimized geometry; SG = C2/m (12); DFT formation energy = -0.24 eV per atom; DFT total energy = -3.932 eV per atom; density = 9.45 g/cm³; crystal system = monoclinic
1.0
-3.4920 -0.3516 2.4991
-1.2474 -1.5799 3.8093
0.2252 3.3648 2.7687
Be Zn Pt
2 1 1
Direct
0.0104 0.0104 0.9466
0.4896 0.4896 0.5534
0.2500 0.2500 0.2500
0.7500 0.7500 0.7500

***

(4)
PBE-GGA Be5ZnPt4, optimized geometry; SG = P4/mmm (123); DFT formation energy = -0.60 eV per atom; DFT total energy = -5.002 eV per atom; density = 12.84 g/cm³; crystal system = tetragonal
1.0
2.8499 0.0000 0.0000
0.0000 2.8499 0.0000
0.0000 0.0000 14.1830
Be Zn Pt
5 1 4
Direct
0.5000 0.5000 0.1014
0.5000 0.5000 0.2977
0.5000 0.5000 0.5000
0.5000 0.5000 0.7023
0.5000 0.5000 0.8986
0.0000 0.0000 0.0000
0.0000 0.0000 0.1963
0.0000 0.0000 0.3994
0.0000 0.0000 0.6006
0.0000 0.0000 0.8037

***

(5)
PBE-GGA Be2ZnPt, optimized geometry; SG = Immm (71); DFT formation energy = 0.42 eV per atom; DFT total energy = -3.272 eV per atom; density = 8.07 g/cm³; crystal system = orthorhombic
1.0
-2.9171 -3.9683 -1.5952
1.5575 2.2546 4.3923
-0.3410 5.1161 0.7148
Be Zn Pt
2 1 1
Direct
0.0000 0.2531 0.2531
0.0000 0.7469 0.7469
0.0000 0.0000 0.0000
0.0000 0.5000 0.5000

***

(6)
PBE-GGA BeZnPt, optimized geometry; SG = P2_1/m (11); DFT formation energy = -0.52 eV per atom; distance to the lowest polymorph of the same formula = 0.000 eV/atom; DFT total energy = -4.200 eV per atom; density = 11.68 g/cm³; crystal system = monoclinic
1.0
-2.2861 -2.2281 1.7277
0.1323 -2.3851 -2.9007
5.5289 -1.4947 1.4813
Be Zn Pt
2 2 2
Direct
0.2539 0.2500 0.5044
0.7461 0.7500 0.4956
0.9174 0.2500 0.8290
0.0826 0.7500 0.1710
0.6121 0.2500 0.2291
0.3879 0.7500 0.7709

***

(7)
PBE-GGA Be2ZnPt, optimized geometry; SG = Immm (71); DFT formation energy = 0.27 eV per atom; DFT total energy = -3.422 eV per atom; density = 8.05 g/cm³; crystal system = orthorhombic
1.0
-5.2866 -0.5452 1.9591
3.9735 -0.4621 -4.0101
4.7194 -3.1254 0.2067
Be Zn Pt
2 1 1
Direct
0.0000 0.2737 0.2737
0.0000 0.7263 0.7263
0.0000 0.0000 0.0000
0.0000 0.5000 0.5000

***

(8)
PBE-GGA BeZn4Pt5, optimized geometry; SG = P4/mmm (123); DFT formation energy = -0.61 eV per atom; DFT total energy = -4.513 eV per atom; density = 14.76 g/cm³; crystal system = tetragonal
1.0
2.8483 0.0000 0.0000
0.0000 2.8483 0.0000
0.0000 0.0000 17.2806
Be Zn Pt
1 4 5
Direct
0.0000 0.0000 0.0000
0.0000 0.0000 0.1885
0.0000 0.0000 0.3959
0.0000 0.0000 0.6041
0.0000 0.0000 0.8115
0.5000 0.5000 0.0827
0.5000 0.5000 0.2922
0.5000 0.5000 0.5000
0.5000 0.5000 0.7078
0.5000 0.5000 0.9173

***

(9)
PBE-GGA BeZnPt, optimized geometry; SG = P-6m2 (187); DFT formation energy = -0.42 eV per atom; distance to the lowest polymorph of the same formula = 0.099 eV/atom; DFT total energy = -4.102 eV per atom; density = 11.44 g/cm³; crystal system = hexagonal
1.0
-3.4726 -1.9622 -0.3016
1.6061 0.6815 3.5995
-1.3976 2.4488 0.1600
Be Zn Pt
1 1 1
Direct
0.0000 0.0000 0.1667
0.6667 0.3333 0.6667
0.3333 0.6667 0.1666

***

(10)
PBE-GGA BeZn2Pt3, optimized geometry; SG = P4/mmm (123); DFT formation energy = -0.64 eV per atom; DFT total energy = -4.710 eV per atom; density = 14.73 g/cm³; crystal system = tetragonal
1.0
-0.3714 1.6716 -2.2430
1.7302 -1.6407 -1.5092
-7.9934 -5.7236 -2.9419
Be Zn Pt
1 2 3
Direct
0.5000 0.5000 0.5000
0.5000 0.5000 0.8231
0.5000 0.5000 0.1769
0.0000 0.0000 0.0000
0.0000 0.0000 0.6407
0.0000 0.0000 0.3593

***

(11)
PBE-GGA BeZnPt4, optimized geometry; SG = F-43m (216); DFT formation energy = 0.21 eV per atom; distance to the lowest polymorph of the same formula = 0.517 eV/atom; DFT total energy = -4.653 eV per atom; density = 14.02 g/cm³; crystal system = cubic
1.0
-3.6110 -2.4812 2.8589
-5.0805 0.9604 -0.7969
-3.0357 -3.6431 -2.2094
Be Zn Pt
1 1 4
Direct
0.0000 0.0000 0.0000
0.7500 0.7500 0.7500
0.8752 0.3749 0.3749
0.3749 0.3749 0.8752
0.3749 0.8752 0.3749
0.3749 0.3749 0.3749

***

(12)
PBE-GGA Be2ZnPt, optimized geometry; SG = I-42d (122); DFT formation energy = 0.07 eV per atom; DFT total energy = -3.624 eV per atom; density = 8.61 g/cm³; crystal system = tetragonal
1.0
-3.2342 -1.6743 0.2255
1.1169 -1.7534 2.9988
-3.8619 4.3165 6.1822
Be Zn Pt
4 2 2
Direct
0.6762 0.1250 0.2500
0.0738 0.6250 0.2500
0.3750 0.3238 0.7500
0.8750 0.9262 0.7500
0.5000 0.5000 0.0000
0.2500 0.7500 0.5000
0.0000 0.0000 0.0000
0.7500 0.2500 0.5000